1.
Entry from Alexandria: a relaxed Nd4NiSe2S crystal (PBE).

abc: 4.080 7.254 7.323
angles: 109.18 90.00 90.00
Fractional positions:
Nd  0.500  0.245  0.237
Nd  0.500  0.755  0.763
Nd  0.000  0.265  0.771
Nd  0.000  0.735  0.229
Ni  0.500  0.500  0.000
Se  0.500  0.000  0.500
Se  0.000  0.500  0.500
S  0.000  0.000  0.000

DOS(E_F) = 0.610 states/eV per atom
Energy relative to the elements, uncorrected = -1.4795 eV/atom
E_tot = -5.973 eV/atom

2.
Entry from Alexandria: a relaxed Nd8NiSe4S3 crystal (PBE).

abc: 8.282 8.372 8.282
angles: 119.65 120.00 90.00
Fractional positions:
Nd  0.240  0.731  0.991
Nd  0.240  0.731  0.481
Nd  0.256  0.268  0.512
Nd  0.751  0.731  0.991
Nd  0.249  0.269  0.009
Nd  0.744  0.732  0.488
Nd  0.760  0.269  0.519
Nd  0.760  0.269  0.009
Ni  0.000  0.500  0.000
Se  0.500  0.000  0.000
Se  0.500  0.000  0.500
Se  0.000  0.000  0.000
Se  0.000  0.000  0.500
S  0.500  0.500  0.000
S  0.500  0.500  0.500
S  0.000  0.500  0.500

DOS(E_F) = 0.380 states/eV per atom
Energy relative to the elements, uncorrected = -1.7272 eV/atom
E_tot = -6.118 eV/atom

3.
Entry from Alexandria: a relaxed Nd8NiTe4S3 crystal (PBE).

abc: 8.469 8.725 8.470
angles: 119.04 120.00 90.00
Fractional positions:
Nd  0.234  0.713  0.979
Nd  0.234  0.713  0.469
Nd  0.263  0.290  0.527
Nd  0.745  0.713  0.979
Nd  0.255  0.287  0.021
Nd  0.737  0.710  0.473
Nd  0.766  0.287  0.531
Nd  0.766  0.287  0.021
Ni  0.000  0.500  0.000
Te  0.500  0.000  0.000
Te  0.500  0.000  0.500
Te  0.000  0.000  0.000
Te  0.000  0.000  0.500
S  0.500  0.500  0.000
S  0.500  0.500  0.500
S  0.000  0.500  0.500

DOS(E_F) = 0.450 states/eV per atom
Energy relative to the elements, uncorrected = -1.5138 eV/atom
E_tot = -5.818 eV/atom

4.
Entry from Alexandria: a relaxed Nd2UNiS5 crystal (PBE).

abc: 3.838 8.436 12.007
angles: 90.00 90.00 103.15
Site moments in Bohr magnetons follow the coordinates.
Fractional positions:
Nd  0.886  0.773  0.848  0.02
Nd  0.116  0.231  0.696  0.01
Nd  0.114  0.227  0.348  0.02
Nd  0.884  0.769  0.196  0.01
U  0.823  0.647  0.526  1.96
U  0.177  0.353  0.026  1.96
Ni  0.555  0.110  0.919  -0.26
Ni  0.445  0.890  0.419  -0.26
S  0.342  0.685  0.021  -0.02
S  0.686  0.372  0.865  -0.04
S  0.495  0.990  0.751  -0.02
S  0.302  0.605  0.688  -0.04
S  0.981  0.963  0.509  -0.06
S  0.658  0.315  0.521  -0.02
S  0.314  0.628  0.365  -0.04
S  0.505  0.010  0.251  -0.02
S  0.698  0.395  0.188  -0.04
S  0.019  0.037  0.009  -0.06

DOS(E_F) = 0.751 states/eV per atom
Energy relative to the elements, uncorrected = -1.5849 eV/atom
E_tot = -6.834 eV/atom

5.
Entry from Alexandria: a relaxed NdNi4Sb2 crystal (PBE).

abc: 4.236 4.236 8.224
angles: 75.08 75.08 60.00
Fractional positions:
Nd  0.000  0.000  0.000
Ni  0.445  0.445  0.665
Ni  0.140  0.140  0.580
Ni  0.555  0.555  0.335
Ni  0.860  0.860  0.420
Sb  0.247  0.247  0.259
Sb  0.753  0.753  0.741

DOS(E_F) = 0.738 states/eV per atom
Energy relative to the elements, uncorrected = -0.4022 eV/atom
E_tot = -5.565 eV/atom

6.
Entry from Alexandria: a relaxed NdNiSb crystal (PBE).

abc: 4.134 4.134 5.212
angles: 113.37 113.37 90.00
Fractional positions:
Sb  0.968  0.968  0.935
Nd  0.621  0.621  0.241
Ni  0.262  0.262  0.524

DOS(E_F) = 0.706 states/eV per atom
Energy relative to the elements, uncorrected = -0.2542 eV/atom
E_tot = -5.145 eV/atom

7.
Entry from Alexandria: a relaxed NdNiSb2 crystal (PBE).

abc: 4.418 4.418 10.258
angles: 102.44 102.44 89.98
Fractional positions:
Nd  0.130  0.130  0.261
Nd  0.870  0.870  0.739
Ni  0.250  0.750  0.500
Ni  0.750  0.250  0.500
Sb  0.317  0.317  0.633
Sb  0.684  0.684  0.367
Sb  0.999  0.500  0.000
Sb  0.500  0.999  0.000

DOS(E_F) = 0.691 states/eV per atom
Energy relative to the elements, uncorrected = -0.7076 eV/atom
E_tot = -5.406 eV/atom

8.
Entry from Alexandria: a relaxed Nd12NiSb6 crystal (PBE).

abc: 8.823 8.823 8.823
angles: 99.47 99.47 99.47
Fractional positions:
Nd  0.807  0.580  0.443
Nd  0.443  0.807  0.580
Nd  0.580  0.443  0.807
Nd  0.193  0.420  0.557
Nd  0.557  0.193  0.420
Nd  0.420  0.557  0.193
Nd  0.054  0.983  0.313
Nd  0.017  0.687  0.946
Nd  0.687  0.946  0.017
Nd  0.946  0.017  0.687
Nd  0.983  0.313  0.054
Nd  0.313  0.054  0.983
Ni  0.000  0.000  0.000
Sb  0.688  0.877  0.361
Sb  0.639  0.312  0.123
Sb  0.123  0.639  0.312
Sb  0.312  0.123  0.639
Sb  0.361  0.688  0.877
Sb  0.877  0.361  0.688

DOS(E_F) = 0.821 states/eV per atom
Energy relative to the elements, uncorrected = -0.6548 eV/atom
E_tot = -5.272 eV/atom

9.
Entry from Alexandria: a relaxed NdNi3Sb2 crystal (PBE).

abc: 4.183 8.398 10.001
angles: 104.32 90.00 104.42
Fractional positions:
Nd  0.159  0.318  0.705
Nd  0.841  0.682  0.295
Nd  0.000  0.000  0.000
Ni  0.047  0.095  0.375
Ni  0.953  0.905  0.625
Ni  0.203  0.407  0.358
Ni  0.797  0.593  0.642
Ni  0.632  0.263  0.197
Ni  0.368  0.737  0.803
Ni  0.500  0.000  0.500
Ni  0.344  0.689  0.043
Ni  0.656  0.311  0.957
Sb  0.202  0.403  0.104
Sb  0.798  0.597  0.896
Sb  0.479  0.958  0.233
Sb  0.521  0.042  0.767
Sb  0.346  0.691  0.540
Sb  0.654  0.309  0.460

DOS(E_F) = 0.699 states/eV per atom
Energy relative to the elements, uncorrected = -0.5322 eV/atom
E_tot = -5.592 eV/atom

10.
Entry from Alexandria: a relaxed Nd4NiSb crystal (PBE).

abc: 6.136 7.624 8.549
angles: 105.37 111.03 90.00
Fractional positions:
Nd  0.535  0.052  0.836
Nd  0.699  0.448  0.164
Nd  0.465  0.948  0.164
Nd  0.301  0.552  0.836
Nd  0.927  0.861  0.651
Nd  0.276  0.639  0.349
Nd  0.073  0.139  0.349
Nd  0.724  0.361  0.651
Ni  0.500  0.000  0.500
Ni  0.000  0.500  0.500
Sb  0.877  0.750  0.000
Sb  0.123  0.250  0.000

DOS(E_F) = 1.018 states/eV per atom
Energy relative to the elements, uncorrected = -0.3764 eV/atom
E_tot = -5.206 eV/atom

11.
Entry from Alexandria: a relaxed NdNi5Sb2 crystal (PBE).

abc: 3.947 6.398 6.398
angles: 62.09 72.03 72.03
Fractional positions:
Nd  0.000  0.000  0.000
Ni  0.000  0.500  0.500
Ni  0.621  0.563  0.196
Ni  0.379  0.437  0.804
Ni  0.379  0.804  0.437
Ni  0.621  0.196  0.563
Sb  0.757  0.743  0.743
Sb  0.243  0.257  0.257

DOS(E_F) = 0.895 states/eV per atom
Energy relative to the elements, uncorrected = -0.3171 eV/atom
E_tot = -5.557 eV/atom

12.
Entry from Alexandria: a relaxed NdNi4Sb crystal (PBE).

abc: 5.077 5.077 5.077
angles: 60.00 60.00 60.00
Site moments in Bohr magnetons follow the coordinates.
Fractional positions:
Sb  0.250  0.250  0.250  0.01
Nd  0.000  0.000  0.000  -0.01
Ni  0.625  0.625  0.126  0.09
Ni  0.625  0.126  0.625  0.09
Ni  0.625  0.625  0.625  0.09
Ni  0.126  0.625  0.625  0.09

DOS(E_F) = 1.061 states/eV per atom
Energy relative to the elements, uncorrected = -0.2568 eV/atom
E_tot = -5.593 eV/atom

13.
Entry from Alexandria: a relaxed NdNiSb crystal (PBE).

abc: 4.380 4.380 8.272
angles: 90.00 90.00 120.00
Fractional positions:
Sb  0.333  0.667  0.250
Sb  0.667  0.333  0.750
Nd  0.000  0.000  0.500
Nd  0.000  0.000  0.000
Ni  0.667  0.333  0.250
Ni  0.333  0.667  0.750

DOS(E_F) = 0.476 states/eV per atom
Energy relative to the elements, uncorrected = -0.8251 eV/atom
E_tot = -5.716 eV/atom

14.
Entry from Alexandria: a relaxed NdNiSb crystal (PBE).

abc: 4.190 4.363 4.363
angles: 120.00 90.00 90.00
Fractional positions:
Sb  0.172  0.333  0.667
Nd  0.671  0.667  0.333
Ni  0.157  0.000  0.000

DOS(E_F) = 0.478 states/eV per atom
Energy relative to the elements, uncorrected = -0.8148 eV/atom
E_tot = -5.705 eV/atom

15.
Entry from Alexandria: a relaxed Nd5Ni2Sb crystal (PBE).

abc: 7.984 7.984 8.807
angles: 116.95 116.95 90.00
Fractional positions:
Nd  0.519  0.705  0.725
Nd  0.795  0.981  0.275
Nd  0.000  0.000  0.000
Nd  0.500  0.500  0.000
Nd  0.205  0.019  0.725
Nd  0.705  0.205  0.725
Nd  0.019  0.519  0.725
Nd  0.295  0.795  0.275
Nd  0.981  0.481  0.275
Nd  0.481  0.295  0.275
Ni  0.127  0.373  0.000
Ni  0.627  0.127  0.000
Ni  0.373  0.873  0.000
Ni  0.873  0.627  0.000
Sb  0.750  0.750  0.500
Sb  0.250  0.250  0.500

DOS(E_F) = 1.040 states/eV per atom
Energy relative to the elements, uncorrected = -0.4524 eV/atom
E_tot = -5.393 eV/atom

16.
Entry from Alexandria: a relaxed NdNiSb2 crystal (PBE).

abc: 3.512 3.512 9.908
angles: 79.79 79.79 60.00
Fractional positions:
Sb  0.110  0.110  0.669
Sb  0.890  0.890  0.331
Nd  0.000  0.000  0.000
Ni  0.500  0.500  0.500

DOS(E_F) = 1.069 states/eV per atom
Energy relative to the elements, uncorrected = -0.0500 eV/atom
E_tot = -4.748 eV/atom

17.
Entry from Alexandria: a relaxed Nd4Ni2Sb crystal (PBE).

abc: 7.943 7.941 7.938
angles: 107.66 107.66 113.18
Fractional positions:
Nd  0.978  0.242  0.380
Nd  0.389  0.509  0.237
Nd  0.861  0.598  0.620
Nd  0.758  0.139  0.737
Nd  0.402  0.021  0.263
Nd  0.271  0.152  0.763
Nd  0.491  0.728  0.880
Nd  0.848  0.611  0.120
Ni  0.533  0.375  0.658
Ni  0.718  0.875  0.343
Ni  0.624  0.282  0.157
Ni  0.125  0.467  0.843
Sb  0.250  0.750  0.500
Sb  0.000  0.000  0.000

DOS(E_F) = 1.130 states/eV per atom
Energy relative to the elements, uncorrected = -0.4058 eV/atom
E_tot = -5.371 eV/atom

18.
Entry from Alexandria: a relaxed NdNiSb3 crystal (PBE).

abc: 6.282 12.674 18.456
angles: 90.00 90.00 90.00
Fractional positions:
Nd  0.441  0.695  0.750
Nd  0.973  0.701  0.916
Nd  0.527  0.701  0.084
Nd  0.527  0.701  0.416
Nd  0.473  0.299  0.584
Nd  0.473  0.299  0.916
Nd  0.559  0.305  0.250
Nd  0.059  0.695  0.250
Nd  0.941  0.305  0.750
Nd  0.027  0.299  0.416
Nd  0.973  0.701  0.584
Nd  0.027  0.299  0.084
Ni  0.750  0.103  0.000
Ni  0.250  0.897  0.500
Ni  0.750  0.103  0.500
Ni  0.250  0.897  0.000
Ni  0.325  0.100  0.176
Ni  0.675  0.900  0.824
Ni  0.175  0.100  0.676
Ni  0.325  0.100  0.324
Ni  0.825  0.900  0.324
Ni  0.175  0.100  0.824
Ni  0.675  0.900  0.676
Ni  0.825  0.900  0.176
Sb  0.040  0.026  0.087
Sb  0.796  0.504  0.166
Sb  0.682  0.057  0.250
Sb  0.750  0.496  0.000
Sb  0.946  0.778  0.750
Sb  0.296  0.496  0.166
Sb  0.250  0.504  0.000
Sb  0.204  0.496  0.834
Sb  0.704  0.504  0.666
Sb  0.796  0.504  0.334
Sb  0.054  0.222  0.250
Sb  0.540  0.974  0.087
Sb  0.974  0.226  0.584
Sb  0.960  0.974  0.587
Sb  0.474  0.774  0.916
Sb  0.526  0.226  0.084
Sb  0.974  0.226  0.916
Sb  0.460  0.026  0.587
Sb  0.540  0.974  0.413
Sb  0.446  0.222  0.750
Sb  0.026  0.774  0.416
Sb  0.554  0.778  0.250
Sb  0.818  0.057  0.750
Sb  0.040  0.026  0.413
Sb  0.526  0.226  0.416
Sb  0.250  0.504  0.500
Sb  0.750  0.496  0.500
Sb  0.460  0.026  0.913
Sb  0.474  0.774  0.584
Sb  0.204  0.496  0.666
Sb  0.318  0.943  0.750
Sb  0.704  0.504  0.834
Sb  0.296  0.496  0.334
Sb  0.026  0.774  0.084
Sb  0.960  0.974  0.913
Sb  0.182  0.943  0.250

DOS(E_F) = 0.274 states/eV per atom
Energy relative to the elements, uncorrected = -0.6160 eV/atom
E_tot = -5.199 eV/atom
Offset from the most stable computed form = 0.000 eV per formula unit

19.
Entry from Alexandria: a relaxed Nd3Ni3Sb4 crystal (PBE).

abc: 8.372 8.372 8.372
angles: 109.47 109.47 109.47
Fractional positions:
Nd  0.625  0.750  0.875
Nd  0.875  0.250  0.625
Nd  0.125  0.375  0.250
Nd  0.375  0.125  0.750
Nd  0.250  0.875  0.125
Nd  0.750  0.625  0.375
Ni  0.125  0.750  0.375
Ni  0.375  0.250  0.125
Ni  0.625  0.875  0.250
Ni  0.875  0.625  0.750
Ni  0.250  0.375  0.625
Ni  0.750  0.125  0.875
Sb  0.000  0.000  0.352
Sb  0.500  0.352  0.500
Sb  0.648  0.148  0.148
Sb  0.000  0.000  0.852
Sb  0.852  0.500  0.000
Sb  0.500  0.852  0.500
Sb  0.352  0.500  0.000
Sb  0.148  0.648  0.648

DOS(E_F) = 0.896 states/eV per atom
Energy relative to the elements, uncorrected = -0.7997 eV/atom
E_tot = -5.613 eV/atom